Li3CdPt (GGA-PBEsol, optimized geometry); space-group type = Pm-3m; crystal system = cubic; uncorrected energy = -2.82 eV per atom
1.0
4.6741 0.0000 0.0000
0.0000 4.6741 0.0000
0.0000 0.0000 4.6741
Pt Li Cd
1 3 1
Cartesian
0.0000 0.0000 0.0000
0.0000 0.0000 2.3370
2.3370 0.0000 0.0000
0.0000 2.3370 0.0000
2.3370 2.3370 2.3370